[1]
VASP calculation (GGA-PBE) on a relaxed structure of PrSm6Co2.

Values from the calculation:
Symmetry ... Immm (71)
Energy of formation from the pure elements ... -1 meV per atom
Total magnetization ... 0.009 μB/f.u.
Total DFT energy (no corrections) ... -94.63 eV for the cell shown

abc: 8.7261 8.7261 8.7261
angles: 113.17 109.06 106.26
Fractional coordinates of all 18 atoms:
Pr 0.0000 0.0000 0.0000
Pr 0.5000 0.0000 0.5000
Sm 0.0105 0.2274 0.7831
Sm 0.1929 0.4931 0.3002
Sm 0.1929 0.8927 0.6998
Sm 0.3051 0.3037 0.6088
Sm 0.3051 0.6963 0.0013
Sm 0.4444 0.2274 0.2169
Sm 0.5556 0.7726 0.7831
Sm 0.6949 0.3037 0.9987
Sm 0.6949 0.6963 0.3912
Sm 0.8071 0.1073 0.3002
Sm 0.8071 0.5069 0.6998
Sm 0.9895 0.7726 0.2169
Co 0.1100 0.5000 0.6100
Co 0.3890 0.3890 0.0000
Co 0.6110 0.6110 0.0000
Co 0.8900 0.5000 0.3900

=====

[2]
VASP calculation (GGA-PBE) on a relaxed structure of TaNb3Ru6.

Values from the calculation:
Symmetry ... P2_1/m (11)
Energy of formation from the pure elements ... -223 meV per atom
Total magnetization ... 0.000 μB/f.u.
Total DFT energy (no corrections) ... -199.88 eV for the cell shown

abc: 7.6566 4.4922 9.8175
angles: 90.00 110.89 90.00
Fractional coordinates of all 20 atoms:
Ta 0.0508 0.2500 0.4119
Ta 0.9492 0.7500 0.5881
Nb 0.2078 0.2500 0.0167
Nb 0.3728 0.7500 0.8031
Nb 0.4861 0.2500 0.6270
Nb 0.5139 0.7500 0.3730
Nb 0.6272 0.2500 0.1969
Nb 0.7922 0.7500 0.9833
Ru 0.0699 0.7500 0.8682
Ru 0.1535 0.7500 0.1744
Ru 0.1555 0.2500 0.6995
Ru 0.2553 0.7500 0.5058
Ru 0.3253 0.2500 0.3256
Ru 0.4528 0.7500 0.0849
Ru 0.5472 0.2500 0.9151
Ru 0.6747 0.7500 0.6744
Ru 0.7447 0.2500 0.4942
Ru 0.8445 0.7500 0.3005
Ru 0.8465 0.2500 0.8256
Ru 0.9301 0.2500 0.1318

=====

[3]
VASP calculation (GGA-PBE) on a relaxed structure of LiInPd6.

Values from the calculation:
Symmetry ... P-1 (2)
Energy of formation from the pure elements ... -234 meV per atom
Total magnetization ... 0.000 μB/f.u.
Total DFT energy (no corrections) ... -37.68 eV for the cell shown

abc: 5.0802 5.1006 5.1066
angles: 94.43 94.27 94.28
Fractional coordinates of all 8 atoms:
Li 0.0000 0.0000 0.0000
In 0.5000 0.5000 0.5000
Pd 0.0381 0.7503 0.4414
Pd 0.2496 0.5596 0.9605
Pd 0.4429 0.0377 0.7506
Pd 0.5571 0.9623 0.2494
Pd 0.7504 0.4404 0.0395
Pd 0.9619 0.2497 0.5586

=====

Number 1: density of states at the Fermi level 10.5 states/eV/f.u.. Number 2: density of states at the Fermi level 6.6 states/eV/f.u.. Number 3: density of states at the Fermi level 7.9 states/eV/f.u..